A plane-wave DFT calculation with GGA-PBE was carried out for crystalline RbCaTi2Pb at its relaxed geometry.

The structure in CIF format:
```
data_RbCaTi2Pb
_cell_length_a 5.6360
_cell_length_b 5.6360
_cell_length_c 5.9556
_cell_angle_alpha 90.00
_cell_angle_beta 90.00
_cell_angle_gamma 90.00
_space_group_name_H-M_alt 'P 4/m m m'
_space_group_IT_number 123
_space_group_name_Hall '-P 4 2'
loop_
_atom_site_label
_atom_site_type_symbol
_atom_site_fract_x
_atom_site_fract_y
_atom_site_fract_z
Rb1 Rb 0.0000 0.0000 0.0000
Ca1 Ca 0.5000 0.5000 0.5000
Ti1 Ti 0.0000 0.5000 0.5000
Pb1 Pb 0.5000 0.5000 0.0000
```

Calculated values
density of states at the Fermi level	11.40	states/eV per cell
volume	189.2	Å³/cell
energy of formation from the pure elements	1.30	eV per atom
electronic total energy	-3.198	eV/atom